1.
A plane-wave DFT calculation with PBE was carried out for a relaxed Er6CdAg3 crystal.

Structure (POSCAR):
```
Er6CdAg3
1.0
5.017 0.000 0.000
0.000 8.670 -2.659
0.000 0.424 11.713
Er Ag Cd
12 6 2
direct
0.250 0.274 0.483
0.250 0.647 0.711
0.750 0.353 0.289
0.750 0.488 0.888
0.750 0.138 0.655
0.250 0.150 0.892
0.750 0.850 0.108
0.750 0.726 0.517
0.250 0.512 0.112
0.250 0.862 0.345
0.250 0.116 0.163
0.750 0.884 0.837
0.250 0.342 0.739
0.750 0.223 0.028
0.250 0.541 0.375
0.750 0.459 0.625
0.750 0.658 0.261
0.250 0.777 0.972
0.250 0.940 0.632
0.750 0.060 0.368
```

Properties
energy of formation from the pure elements = -2.0 eV/f.u.
M_tot = 0.0 μB per cell
N(E_F) = 15.998 states/eV/cell
symmetry = P2_1/m

***

2.
A plane-wave DFT calculation with PBE was carried out for a relaxed CeSb2Pd7 crystal.

Structure (POSCAR):
```
CeSb2Pd7
1.0
-2.040 -1.725 -3.213
1.272 -3.787 1.225
-8.596 1.757 7.230
Sb Pd Ce
2 7 1
direct
0.672 0.672 0.344
0.328 0.328 0.656
0.906 0.406 0.812
0.500 0.500 0.000
0.406 0.906 0.812
0.094 0.594 0.188
0.594 0.094 0.188
0.250 0.750 0.500
0.750 0.250 0.500
0.000 0.000 0.000
```

Properties
E_form (uncorrected) = -52.0 kJ/mol of atoms
M_tot = 0.4 μB per cell
offset from the most stable computed form = 0 meV/atom
N(E_F) = 9.429 states/eV/cell
symmetry = I4/mmm

***

3.
A plane-wave DFT calculation with PBE was carried out for a relaxed KPa4Pt3S12 crystal.

Structure (POSCAR):
```
KPa4Pt3S12
1.0
8.477 0.000 0.000
-2.826 7.992 0.000
-2.826 -3.996 6.922
S K Pa Pt
12 1 4 3
direct
0.162 0.479 0.317
0.162 0.844 0.683
0.838 0.521 0.683
0.521 0.683 0.838
0.844 0.683 0.162
0.838 0.156 0.317
0.317 0.162 0.479
0.683 0.838 0.521
0.479 0.317 0.162
0.683 0.162 0.844
0.156 0.317 0.838
0.317 0.838 0.156
0.000 0.000 0.000
0.500 0.500 0.500
0.000 0.500 0.000
0.000 0.000 0.500
0.500 0.000 0.000
0.500 0.500 0.000
0.500 0.000 0.500
0.000 0.500 0.500
```

Properties
E_form (uncorrected) = -105.7 kJ/mol of atoms
M_tot = 0.0 μB per cell
N(E_F) = 15.422 states/eV/cell
symmetry = Im-3

***

4.
A plane-wave DFT calculation with PBE was carried out for a relaxed Sm3Zn9Pt2 crystal.

Structure (POSCAR):
```
Sm3Zn9Pt2
1.0
4.151 0.000 1.158
1.333 7.518 3.239
-0.077 0.165 8.292
Zn Sm Pt
9 3 2
direct
0.674 0.967 0.685
0.326 0.033 0.315
0.127 0.154 0.592
0.127 0.592 0.154
0.674 0.685 0.967
0.873 0.846 0.408
0.326 0.315 0.033
0.873 0.408 0.846
0.000 0.500 0.500
0.311 0.689 0.689
0.689 0.311 0.311
0.000 0.000 0.000
0.500 0.716 0.284
0.500 0.284 0.716
```

Properties
energy of formation from the pure elements = -7.2 eV/f.u.
M_tot = 0.0 μB per cell
N(E_F) = 5.904 states/eV/cell
symmetry = Immm

***

5.
A plane-wave DFT calculation with PBE was carried out for a relaxed CaNdSm crystal.

Structure (POSCAR):
```
CaNdSm
1.0
-2.699 -1.985 1.622
1.482 -3.130 -1.366
5.052 1.826 6.370
Nd Sm Ca
1 1 1
direct
0.675 0.675 0.350
0.325 0.325 0.651
0.999 0.999 0.999
```

Properties
energy of formation from the pure elements = 0.1 eV/f.u.
M_tot = 0.0 μB per cell
offset from the most stable computed form = 4 meV/atom
N(E_F) = 3.585 states/eV/cell
symmetry = I4mm

***

6.
A plane-wave DFT calculation with PBE was carried out for a relaxed VB2Se8 crystal.

Structure (POSCAR):
```
VB2Se8
1.0
5.426 -0.115 -0.088
-0.119 6.983 -1.669
-0.119 0.273 7.175
Se B V
8 2 1
direct
0.662 0.755 0.054
0.687 0.580 0.580
0.841 0.238 0.238
0.338 0.245 0.946
0.313 0.420 0.420
0.662 0.054 0.755
0.159 0.762 0.762
0.338 0.946 0.245
0.462 0.216 0.216
0.538 0.784 0.784
0.000 0.000 0.000
```

Properties
E_form (uncorrected) = -14.0 kJ/mol of atoms
M_tot = 0.6 μB per cell
N(E_F) = 8.387 states/eV/cell
symmetry = C2/m

***

7.
A plane-wave DFT calculation with PBE was carried out for a relaxed Cu2SiN crystal.

Structure (POSCAR):
```
Cu2SiN
1.0
-1.810 -0.270 4.669
-0.953 -4.880 -0.652
2.745 -3.587 3.550
Si Cu N
2 4 2
direct
0.000 0.000 0.000
0.750 0.250 0.500
0.375 0.461 0.750
0.539 0.125 0.250
0.875 0.789 0.750
0.211 0.625 0.250
0.500 0.500 0.000
0.250 0.750 0.500
```

Properties
E_form (uncorrected) = 60.6 kJ/mol of atoms
M_tot = 0.0 μB per cell
offset from the most stable computed form = 0 meV/atom
N(E_F) = 5.419 states/eV/cell
symmetry = I-42d

***

8.
A plane-wave DFT calculation with PBE was carried out for a relaxed Be2AuBr crystal.

Structure (POSCAR):
```
Be2AuBr
1.0
-5.702 -0.758 -0.476
0.561 -5.419 1.905
-3.093 -1.713 4.783
Be Br Au
4 2 2
direct
0.875 0.886 0.750
0.114 0.625 0.250
0.375 0.364 0.750
0.636 0.125 0.250
0.500 0.500 0.000
0.250 0.750 0.500
0.750 0.250 0.500
0.000 0.000 0.000
```

Properties
E_form (uncorrected) = 19.3 kJ/mol of atoms
M_tot = 0.0 μB per cell
offset from the most stable computed form = 346 meV/atom
N(E_F) = 0.254 states/eV/cell
symmetry = I-42d